Record 1
VASP calculation (GGA-PBEsol) on a relaxed structure of ZnIn3.

Cell and atoms, written as POSCAR:
```
ZnIn3
1.0
3.1947 0.0000 0.0000
0.0000 4.3403 0.0000
0.0000 0.0000 6.5282
Zn In
1 3
Direct
0.0000 0.0000 0.0000 Zn
0.0000 0.0000 0.5000 In
0.5000 0.5000 0.2311 In
0.5000 0.5000 0.7689 In
```

Computed properties:
calculated formation energy	0.0838	eV per atom
total moment	0.0000	μB per atom

Record 2
VASP calculation (GGA-PBEsol) on a relaxed structure of AsP2Br.

Cell and atoms, written as POSCAR:
```
AsP2Br
1.0
3.3112 0.0000 0.0000
0.0000 4.6971 0.0000
0.0000 0.0000 9.4075
As P Br
2 4 2
Direct
0.0000 0.0000 0.0000 As
0.5000 0.5000 0.5000 As
0.0000 0.5000 0.2912 P
0.0000 0.5000 0.7088 P
0.5000 0.0000 0.2088 P
0.5000 0.0000 0.7912 P
0.0000 0.0000 0.5000 Br
0.5000 0.5000 0.0000 Br
```

Computed properties:
total moment	0.0000	μB per atom
formation energy without anion corrections	0.623	eV/atom

Record 3
VASP calculation (GGA-PBEsol) on a relaxed structure of KSrY2.

Cell and atoms, written as POSCAR:
```
KSrY2
1.0
3.6126 0.0000 0.0000
0.0000 6.4458 0.0000
-0.7394 0.0000 6.6872
K Sr Y
1 1 2
Direct
0.0000 0.0000 0.0000 K
0.5000 0.0000 0.5000 Sr
0.2384 0.5000 0.7349 Y
0.7616 0.5000 0.2651 Y
```

Computed properties:
calculated formation energy	0.4286	eV per atom
total moment	0.0001	μB per atom

Record 4
VASP calculation (GGA-PBEsol) on a relaxed structure of ZrI3Cl.

Cell and atoms, written as POSCAR:
```
ZrI3Cl
1.0
5.5066 0.0000 0.0000
0.0000 5.5066 0.0000
0.0000 0.0000 5.5066
Zr I Cl
1 3 1
Direct
0.0000 0.0000 0.0000 Zr
0.0000 0.5000 0.5000 I
0.5000 0.0000 0.5000 I
0.5000 0.5000 0.0000 I
0.5000 0.5000 0.5000 Cl
```

Computed properties:
total moment	0.4872	μB per atom
formation energy without anion corrections	0.726	eV/atom

Record 5
VASP calculation (GGA-PBEsol) on a relaxed structure of NbHN2.

Cell and atoms, written as POSCAR:
```
NbHN2
1.0
5.0717 0.0000 0.0000
0.0000 5.0717 0.0000
0.0000 0.0000 5.0717
Nb H N
4 4 8
Direct
0.0000 0.0000 0.0000 Nb
0.0000 0.5000 0.5000 Nb
0.5000 0.0000 0.5000 Nb
0.5000 0.5000 0.0000 Nb
0.0000 0.0000 0.5000 H
0.0000 0.5000 0.0000 H
0.5000 0.0000 0.0000 H
0.5000 0.5000 0.5000 H
0.2500 0.2500 0.2500 N
0.2500 0.2500 0.7500 N
0.2500 0.7500 0.2500 N
0.2500 0.7500 0.7500 N
0.7500 0.2500 0.2500 N
0.7500 0.2500 0.7500 N
0.7500 0.7500 0.2500 N
0.7500 0.7500 0.7500 N
```

Computed properties:
total DFT energy (no corrections)	-7.37	eV per atom
total moment	0.0002	μB per atom

Record 6
VASP calculation (GGA-PBEsol) on a relaxed structure of ZnPdF6.

Cell and atoms, written as POSCAR:
```
ZnPdF6
1.0
2.4827 1.4334 4.5257
-2.4827 1.4334 4.5257
0.0000 -2.8668 4.5257
Zn Pd F
1 1 6
Direct
0.0000 0.0000 0.0000 Zn
0.5000 0.5000 0.5000 Pd
0.1098 0.7400 0.4041 F
0.2600 0.5959 0.8902 F
0.4041 0.1098 0.7400 F
0.5959 0.8902 0.2600 F
0.7400 0.4041 0.1098 F
0.8902 0.2600 0.5959 F
```

Computed properties:
total moment	0.0000	μB per atom
formation energy without anion corrections	-1.686	eV/atom

Record 7
VASP calculation (GGA-PBEsol) on a relaxed structure of SbPBr2.

Cell and atoms, written as POSCAR:
```
SbPBr2
1.0
6.3988 0.0000 0.0000
0.0000 6.7012 0.0000
0.0000 0.0000 9.1726
Sb P Br
4 4 8
Direct
0.0000 0.0000 0.0000 Sb
0.0000 0.5000 0.5000 Sb
0.5000 0.0000 0.5000 Sb
0.5000 0.5000 0.0000 Sb
0.0000 0.0000 0.5000 P
0.0000 0.5000 0.0000 P
0.5000 0.0000 0.0000 P
0.5000 0.5000 0.5000 P
0.0000 0.2500 0.2500 Br
0.0000 0.2500 0.7500 Br
0.0000 0.7500 0.2500 Br
0.0000 0.7500 0.7500 Br
0.5000 0.2500 0.2500 Br
0.5000 0.2500 0.7500 Br
0.5000 0.7500 0.2500 Br
0.5000 0.7500 0.7500 Br
```

Computed properties:
total moment	0.0000	μB per atom
formation energy without anion corrections	0.287	eV/atom

Record 8
VASP calculation (GGA-PBEsol) on a relaxed structure of RuPtIN2.

Cell and atoms, written as POSCAR:
```
RuPtIN2
1.0
3.7468 0.0000 0.0000
0.0000 3.7468 0.0000
0.0000 0.0000 5.8798
Ru Pt I N
1 1 1 2
Direct
0.0000 0.0000 0.0000 Ru
0.5000 0.5000 0.5000 Pt
0.0000 0.0000 0.5000 I
0.0000 0.5000 0.0000 N
0.5000 0.0000 0.0000 N
```

Computed properties:
total moment	0.0001	μB per atom
formation energy without anion corrections	0.941	eV/atom

Record 9
VASP calculation (GGA-PBEsol) on a relaxed structure of LaTaBr.

Cell and atoms, written as POSCAR:
```
LaTaBr
1.0
4.8835 0.0000 0.0000
-2.4418 4.2293 0.0000
0.0000 0.0000 3.2772
La Ta Br
1 1 1
Direct
0.0000 0.0000 0.0000 La
0.3333 0.6667 0.5000 Ta
0.6667 0.3333 0.5000 Br
```

Computed properties:
total moment	0.0000	μB per atom
formation energy without anion corrections	0.255	eV/atom

Record 10
VASP calculation (GGA-PBEsol) on a relaxed structure of ZnWN2F.

Cell and atoms, written as POSCAR:
```
ZnWN2F
1.0
3.9384 0.0000 0.0000
0.0000 3.9384 0.0000
0.0000 0.0000 3.9863
Zn W N F
1 1 2 1
Direct
0.0000 0.0000 0.0000 Zn
0.5000 0.5000 0.5000 W
0.0000 0.5000 0.5000 N
0.5000 0.0000 0.5000 N
0.5000 0.5000 0.0000 F
```

Computed properties:
total moment	0.0000	μB per atom
formation energy without anion corrections	-0.217	eV/atom

Record 11
VASP calculation (GGA-PBEsol) on a relaxed structure of CuSi2.

Cell and atoms, written as POSCAR:
```
CuSi2
1.0
2.4845 0.0000 0.0000
0.0000 3.6057 0.0000
0.0000 0.0000 8.9727
Cu Si
2 4
Direct
0.0000 0.0000 0.0000 Cu
0.5000 0.5000 0.5000 Cu
0.0000 0.0000 0.3465 Si
0.0000 0.0000 0.6535 Si
0.5000 0.5000 0.1535 Si
0.5000 0.5000 0.8465 Si
```

Computed properties:
total moment	0.0000	μB per atom
formation energy without anion corrections	0.242	eV/atom

Record 12
VASP calculation (GGA-PBEsol) on a relaxed structure of TlTc2Ru.

Cell and atoms, written as POSCAR:
```
TlTc2Ru
1.0
2.8361 0.0000 0.0000
-1.4180 2.4561 0.0000
0.0000 0.0000 26.9354
Tl Tc Ru
3 6 3
Direct
0.0000 0.0000 0.0000 Tl
0.3333 0.6667 0.6667 Tl
0.6667 0.3333 0.3333 Tl
0.0000 0.0000 0.2419 Tc
0.0000 0.0000 0.4991 Tc
0.3333 0.6667 0.1658 Tc
0.3333 0.6667 0.9086 Tc
0.6667 0.3333 0.5753 Tc
0.6667 0.3333 0.8325 Tc
0.0000 0.0000 0.7558 Ru
0.3333 0.6667 0.4225 Ru
0.6667 0.3333 0.0891 Ru
```

Computed properties:
calculated formation energy	0.4493	eV per atom
total moment	0.0000	μB per atom